{
  "formula": "ZrAs2Pb2",
  "functional": "PBE",
  "state": "optimized geometry",
  "cell": [[-4.106, 5.979, 1.288], [-5.326, -2.732, -4.295], [-1.908, -2.108, 3.707]],
  "species": ["Zr", "As", "Pb", "As", "Pb", "Zr", "Pb", "As", "As", "Pb"],
  "fractional_positions": [[0.000, 0.000, 0.000], [0.839, 0.661, 0.000], [0.340, 0.160, 0.500], [0.161, 0.339, 0.000], [0.660, 0.840, 0.500], [0.500, 0.500, 0.000], [0.160, 0.660, 0.500], [0.339, 0.839, 0.000], [0.661, 0.161, 0.000], [0.840, 0.340, 0.500]],
  "magmom_total_mub_per_fu": 0.000,
  "formation_enthalpy_0k_kj_per_mol_fu": -85,
  "dft_energy_ev_per_atom": -5.228,
  "n_ef_per_ev_cell": 6.30,
  "spacegroup": "P4/mbm"
}